No. 1
Below is a geometry-optimized Tb2Pr2Nd3 structure, with properties calculated at the PBE-GGA level.

Lattice parameters (Å, degrees): 12.1019 3.6620 10.9835 90.00 95.77 90.00
Closest atoms and distances in Å follow each position.
Space group C2/m (No. 12)
Inequivalent atoms, fractional coordinates:
Tb 0.0710 0.0000 0.2870 [4 per cell]  7 Nd 3.64-3.67, 3 Pr 3.65, 2 Tb 3.66
Pr 0.2147 0.0000 0.8555 [4 per cell]  3 Tb 3.65, 5 Nd 3.65-3.67, 4 Pr 3.66-3.69
Nd 0.0000 0.5000 0.0000 [2 per cell]  6 Pr 3.65-3.67, 2 Nd 3.66, 4 Tb 3.67
Nd 0.1422 0.5000 0.5703 [4 per cell]  5 Nd 3.63-3.66, 5 Tb 3.64-3.66, 2 Pr 3.66

Values from the calculation:
* relative energy among the computed polymorphs: 0 meV/atom
* energy of formation: 0.01 eV per atom

No. 2
Below is a geometry-optimized K3Bi3Pb structure, with properties calculated at the PBE-GGA level.

Lattice parameters (Å, degrees): 13.0955 5.6853 16.3000 90.00 108.45 90.00
Closest atoms and distances in Å follow each position.
Space group C2/m (No. 12)
Inequivalent atoms, fractional coordinates:
K 0.0202 0.0000 0.3759 [4 per cell]  6 Bi 3.71-3.95, 4 Pb 3.91-4.03
K 0.0976 0.0000 0.9199 [4 per cell]  7 Bi 3.76-3.92, 2 K 4.12-4.19
K 0.2258 0.0000 0.2184 [4 per cell]  6 Bi 3.65-3.94
Bi 0.0228 0.5000 0.2305 [4 per cell]  1 Bi 3.08, 1 Pb 3.23
Bi 0.1064 0.5000 0.0736 [4 per cell]  2 Bi 3.05-3.08
Bi 0.1253 0.5000 0.5506 [4 per cell]  1 Bi 3.17, 3 Pb 3.18-3.35
Pb 0.2326 0.5000 0.4009 [4 per cell]  4 Bi 3.18-3.35

Values from the calculation:
* relative energy among the computed polymorphs: 0 meV/atom
* energy of formation: -0.32 eV per atom

No. 3
Below is a geometry-optimized BaVSn2 structure, with properties calculated at the PBE-GGA level.

Lattice parameters (Å, degrees): 7.6327 7.6327 7.6327 90.00 90.00 90.00
Closest atoms and distances in Å follow each position.
Space group Fm-3m (No. 225)
Inequivalent atoms, fractional coordinates:
Ba 0.0000 0.0000 0.0000 [4 per cell]  8 Sn 3.31
V 0.0000 0.0000 0.5000 [4 per cell]  8 Sn 3.31
Sn 0.2500 0.2500 0.2500 [8 per cell]  4 Ba 3.31, 4 V 3.31

Values from the calculation:
* relative energy among the computed polymorphs: 38 meV/atom
* energy of formation: 0.12 eV per atom

Q: Which formula does entry 2 have?
A: K3Bi3Pb

What did the third record say?
Below is a geometry-optimized BaVSn2 structure, with properties calculated at the PBE-GGA level.

Lattice parameters (Å, degrees): 7.6327 7.6327 7.6327 90.00 90.00 90.00
Closest atoms and distances in Å follow each position.
Space group Fm-3m (No. 225)
Inequivalent atoms, fractional coordinates:
Ba 0.0000 0.0000 0.0000 [4 per cell]  8 Sn 3.31
V 0.0000 0.0000 0.5000 [4 per cell]  8 Sn 3.31
Sn 0.2500 0.2500 0.2500 [8 per cell]  4 Ba 3.31, 4 V 3.31

Values from the calculation:
* relative energy among the computed polymorphs: 38 meV/atom
* energy of formation: 0.12 eV per atom

Q: Which value of relative energy among the computed polymorphs does entry 2 give?
A: 0 meV/atom

Q: What is the formula in the first record?
A: Tb2Pr2Nd3